No. 1
GGA-PBE CrP2Cl, optimized geometry; E above lowest polymorph = 109 kJ/mol of formula units; symmetry = R3m; formation energy (no corrections) = 0.00 eV/atom; N(E_F) = 0.634 states/eV per cell; raw total energy = -5.5686 eV/atom; crystal system = trigonal
1.0
1.550 0.895 8.374
-1.550 0.895 8.374
0.000 -1.790 8.374
Cr P Cl
1 2 1
direct
0.000 0.000 0.000
0.259 0.259 0.259
0.536 0.536 0.536
0.724 0.724 0.724


No. 2
GGA-PBE CrPCl2, optimized geometry; E above lowest polymorph = 0 kJ/mol of formula units; symmetry = P4mm; formation energy (no corrections) = -0.40 eV/atom; N(E_F) = 0.864 states/eV per cell; raw total energy = -5.0787 eV/atom; crystal system = tetragonal
1.0
3.479 0.000 0.000
0.000 3.479 0.000
0.000 0.000 7.708
Cr P Cl
1 1 2
direct
0.000 0.000 0.000
0.500 0.500 0.952
0.000 0.000 0.281
0.500 0.500 0.681


No. 3
GGA-PBE CrPCl2, optimized geometry; E above lowest polymorph = 229 kJ/mol of formula units; symmetry = P2/m; formation energy (no corrections) = 0.20 eV/atom; N(E_F) = 1.226 states/eV per cell; raw total energy = -4.4841 eV/atom; crystal system = monoclinic
1.0
4.401 0.000 0.000
0.000 4.042 0.000
-0.303 0.000 4.400
Cr P Cl
1 1 2
direct
0.000 0.000 0.000
0.500 0.000 0.500
0.240 0.500 0.760
0.760 0.500 0.240


No. 4
GGA-PBE Cr2PCl, optimized geometry; E above lowest polymorph = 31 kJ/mol of formula units; symmetry = C2/m; formation energy (no corrections) = -0.23 eV/atom; N(E_F) = 1.454 states/eV per cell; raw total energy = -6.8547 eV/atom; crystal system = monoclinic
1.0
3.081 -1.773 0.000
3.081 1.773 0.000
-2.083 0.000 6.080
Cr P Cl
2 1 1
direct
0.230 0.230 0.186
0.770 0.770 0.814
0.500 0.500 0.000
0.000 0.000 0.500


No. 5
GGA-PBE CrP2Cl, optimized geometry; E above lowest polymorph = 133 kJ/mol of formula units; symmetry = Pmmm; formation energy (no corrections) = 0.07 eV/atom; N(E_F) = 3.385 states/eV per cell; raw total energy = -5.5060 eV/atom; crystal system = orthorhombic
1.0
2.933 0.000 0.000
0.000 3.016 0.000
0.000 0.000 7.012
Cr P Cl
1 2 1
direct
0.000 0.000 0.000
0.500 0.500 0.179
0.500 0.500 0.821
0.000 0.500 0.500


No. 6
GGA-PBE CrP2Cl, optimized geometry; E above lowest polymorph = 122 kJ/mol of formula units; symmetry = R-3m; formation energy (no corrections) = 0.04 eV/atom; N(E_F) = 2.077 states/eV per cell; raw total energy = -5.5349 eV/atom; crystal system = trigonal
1.0
1.550 0.895 7.268
-1.550 0.895 7.268
0.000 -1.790 7.268
Cr P Cl
1 2 1
direct
0.000 0.000 0.000
0.265 0.265 0.265
0.735 0.735 0.735
0.500 0.500 0.500


No. 7
GGA-PBE CrP2Cl2, optimized geometry; symmetry = P2_1; formation energy (no corrections) = -0.35 eV/atom; N(E_F) = 6.436 states/eV per cell; raw total energy = -5.1803 eV/atom; crystal system = monoclinic
1.0
6.754 0.000 0.000
0.000 5.335 0.000
-0.315 0.000 7.903
Cr P Cl
2 4 4
direct
0.083 0.000 0.174
0.917 0.500 0.826
0.087 0.243 0.613
0.109 0.643 0.600
0.891 0.143 0.400
0.913 0.743 0.387
0.161 0.388 0.031
0.386 0.961 0.282
0.614 0.461 0.718
0.839 0.888 0.969


No. 8
GGA-PBE Cr2PCl, optimized geometry; E above lowest polymorph = 147 kJ/mol of formula units; symmetry = Immm; formation energy (no corrections) = 0.07 eV/atom; N(E_F) = 1.639 states/eV per cell; raw total energy = -6.5535 eV/atom; crystal system = orthorhombic
1.0
-1.753 3.289 3.485
1.753 -3.289 3.485
1.753 3.289 -3.485
Cr P Cl
2 1 1
direct
0.226 0.226 0.000
0.774 0.774 0.000
0.000 0.500 0.500
0.500 0.000 0.500


No. 9
GGA-PBE CrPCl4, optimized geometry; symmetry = F-43m; formation energy (no corrections) = 1.04 eV/atom; N(E_F) = 10.271 states/eV per cell; raw total energy = -2.7015 eV/atom; crystal system = cubic
1.0
0.000 4.096 4.096
4.096 0.000 4.096
4.096 4.096 0.000
Cr P Cl
1 1 4
direct
0.000 0.000 0.000
0.750 0.750 0.750
0.374 0.374 0.374
0.374 0.374 0.877
0.374 0.877 0.374
0.877 0.374 0.374


No. 10
GGA-PBE CrP2Cl, optimized geometry; E above lowest polymorph = 145 kJ/mol of formula units; symmetry = P4/mmm; formation energy (no corrections) = 0.10 eV/atom; N(E_F) = 3.068 states/eV per cell; raw total energy = -5.4750 eV/atom; crystal system = tetragonal
1.0
3.023 0.000 0.000
0.000 3.023 0.000
0.000 0.000 6.778
Cr P Cl
1 2 1
direct
0.000 0.000 0.000
0.500 0.500 0.183
0.500 0.500 0.817
0.000 0.000 0.500


No. 11
GGA-PBE Cr2PCl, optimized geometry; E above lowest polymorph = 133 kJ/mol of formula units; symmetry = R3m; formation energy (no corrections) = 0.04 eV/atom; N(E_F) = 3.073 states/eV per cell; raw total energy = -6.5898 eV/atom; crystal system = trigonal
1.0
1.461 0.843 9.030
-1.461 0.843 9.030
0.000 -1.686 9.030
Cr P Cl
2 1 1
direct
0.000 0.000 0.000
0.265 0.265 0.265
0.729 0.729 0.729
0.536 0.536 0.536


No. 12
GGA-PBE CrPCl2, optimized geometry; E above lowest polymorph = 21 kJ/mol of formula units; symmetry = Pm; formation energy (no corrections) = -0.34 eV/atom; N(E_F) = 0.174 states/eV per cell; raw total energy = -5.0250 eV/atom; crystal system = monoclinic
1.0
4.727 0.000 0.000
0.000 3.608 0.000
-1.280 0.000 4.946
Cr P Cl
1 1 2
direct
0.000 0.000 0.000
0.149 0.500 0.300
0.485 0.000 0.920
0.867 0.500 0.574